Below is CuH3PdRh after structural relaxation, with properties calculated at the PBE level.

- Calculated total energy: -4.46 eV per atom
- DOS at the Fermi energy: 2.2 states/eV/f.u.
- Space group: P2_1/m (11)

Cell lengths 4.831, 2.898, 7.394 Å; angles 90.00, 103.04, 90.00 degrees
Fractional positions:
1 Cu 0.131 0.250 0.134
2 Cu 0.869 0.750 0.866
3 H 0.011 0.750 0.619
4 H 0.287 0.750 0.977
5 H 0.432 0.250 0.376
6 H 0.568 0.750 0.624
7 H 0.713 0.250 0.023
8 H 0.989 0.250 0.381
9 Pd 0.355 0.250 0.825
10 Pd 0.645 0.750 0.175
11 Rh 0.233 0.750 0.449
12 Rh 0.767 0.250 0.551